This record from Alexandria describes an optimized crystal structure of ZrBeCu. The functional is PBE-GGA.

The uncorrected energy comes out at -0.2023 Ha/atom. For the energy relative to the lowest polymorph listed for this composition, the calculation gives 128.4 meV per atom. As for the formation enthalpy at 0 K: -4.58 kJ per mole of atoms.

The space group is I4mm (No. 107) and the conventional cell measures 2.921, 2.921 and 10.029 Å, with angles of 90.00, 90.00 and 90.00 degrees. The inequivalent atoms are Zr at (0.000, 0.000, 0.000), Be at (0.000, 0.000, 0.308) and Cu at (0.000, 0.000, 0.704).